Entry 1:
! Sc2Mn2Ge2P GGA-PBE optimized geometry; values from VASP
! Fermi-level density of states: 5.93 states/eV/f.u.
! raw total energy: -6.9005 eV per atom
! SG: I4/mmm, No. 139
! volume: 118.63 Å³/cell
&SYSTEM
  ibrav = 0, nat = 7, ntyp = 4
/
ATOMIC_SPECIES
Sc 44.96 Sc.upf
Mn 54.94 Mn.upf
Ge 72.64 Ge.upf
P 30.97 P.upf
ATOMIC_POSITIONS angstrom
Sc 0.000 0.000 2.484
Sc 2.058 2.058 4.520
Mn 0.000 2.058 0.000
Mn 2.058 0.000 0.000
Ge 0.000 0.000 5.287
Ge 2.058 2.058 1.717
P 0.000 0.000 0.000
CELL_PARAMETERS angstrom
4.116 0.000 0.000
0.000 4.116 0.000
-2.058 -2.058 7.004

---

Entry 2:
! Pa2Mn2Ge3 GGA-PBE optimized geometry; values from VASP
! Fermi-level density of states: 7.39 states/eV/f.u.
! raw total energy: -7.6879 eV per atom
! SG: Cmcm, No. 63
! volume: 255.15 Å³/cell
&SYSTEM
  ibrav = 0, nat = 14, ntyp = 3
/
ATOMIC_SPECIES
Pa 231.04 Pa.upf
Mn 54.94 Mn.upf
Ge 72.64 Ge.upf
ATOMIC_POSITIONS angstrom
Pa -0.260 -3.367 -0.365
Pa -2.061 -7.409 -2.836
Pa -3.454 -7.775 0.858
Pa 1.133 -3.000 -4.059
Mn -1.103 -5.777 -4.934
Mn -1.218 -4.998 1.733
Mn -0.497 -6.171 -0.613
Mn -1.823 -4.604 -2.588
Ge 0.415 -5.667 -2.946
Ge -2.735 -5.108 -0.255
Ge -1.439 -2.157 -2.858
Ge -0.882 -8.618 -0.343
Ge -0.185 -9.753 -2.612
Ge -2.136 -1.022 -0.589
CELL_PARAMETERS angstrom
-3.890 0.455 -1.422
1.800 -2.930 -5.859
-0.230 -8.300 4.080

---

Entry 3:
! Pa4MnGe GGA-PBE optimized geometry; values from VASP
! Fermi-level density of states: 10.19 states/eV/f.u.
! raw total energy: -8.6299 eV per atom
! SG: P222, No. 16
! volume: 266.67 Å³/cell
&SYSTEM
  ibrav = 0, nat = 12, ntyp = 3
/
ATOMIC_SPECIES
Pa 231.04 Pa.upf
Mn 54.94 Mn.upf
Ge 72.64 Ge.upf
ATOMIC_POSITIONS angstrom
Pa -0.499 -2.460 1.533
Pa -2.828 -2.377 6.515
Pa -4.827 -3.988 3.811
Pa 0.543 -5.179 3.862
Pa -2.626 -5.670 5.291
Pa -2.105 -5.518 2.206
Pa 0.019 -1.768 4.552
Pa -2.899 -1.047 3.670
Mn 1.518 -0.553 2.512
Mn -2.672 0.442 1.711
Ge 0.000 0.000 0.000
Ge -3.421 -2.948 1.418
CELL_PARAMETERS angstrom
-1.498 -6.780 -0.587
3.036 -1.106 5.024
-5.343 0.884 3.423

---

Entry 4:
! PaMn3Ge2 GGA-PBE optimized geometry; values from VASP
! Fermi-level density of states: 6.25 states/eV/f.u.
! raw total energy: -7.9661 eV per atom
! SG: C2/m, No. 12
! volume: 187.21 Å³/cell
&SYSTEM
  ibrav = 0, nat = 12, ntyp = 3
/
ATOMIC_SPECIES
Pa 231.04 Pa.upf
Mn 54.94 Mn.upf
Ge 72.64 Ge.upf
ATOMIC_POSITIONS angstrom
Pa 2.004 2.134 5.989
Pa 0.000 1.903 0.432
Mn 0.000 2.691 3.326
Mn 2.004 4.698 3.945
Mn 2.004 -0.814 4.065
Mn 0.000 4.852 2.356
Mn 0.000 -0.661 2.476
Mn 2.004 1.346 3.095
Ge 0.000 4.310 5.188
Ge 2.004 -0.273 1.233
Ge 2.004 3.489 1.845
Ge 0.000 0.549 4.576
CELL_PARAMETERS angstrom
4.007 0.000 0.000
-2.004 7.300 0.039
0.000 -3.263 6.382

---

Entry 5:
! Pa3Mn6Ge5 GGA-PBE optimized geometry; values from VASP
! Fermi-level density of states: 14.31 states/eV/f.u.
! raw total energy: -7.9108 eV per atom
! SG: Pmmn, No. 59
! volume: 463.84 Å³/cell
&SYSTEM
  ibrav = 0, nat = 28, ntyp = 3
/
ATOMIC_SPECIES
Pa 231.04 Pa.upf
Mn 54.94 Mn.upf
Ge 72.64 Ge.upf
ATOMIC_POSITIONS angstrom
Pa 0.000 2.188 8.564
Pa 2.021 7.022 2.332
Pa 2.021 7.022 10.130
Pa 0.000 2.316 0.000
Pa 2.021 6.893 6.231
Pa 0.000 2.188 3.899
Mn 0.000 9.058 10.486
Mn 2.021 0.151 8.207
Mn 2.021 3.732 10.161
Mn 2.021 4.786 0.000
Mn 0.000 4.423 6.231
Mn 0.000 5.477 8.533
Mn 0.000 5.477 3.930
Mn 2.021 8.986 0.000
Mn 0.000 9.058 1.976
Mn 2.021 3.732 2.302
Mn 0.000 0.223 6.231
Mn 2.021 0.151 4.255
Ge 0.000 4.898 10.936
Ge 0.000 7.958 8.188
Ge 0.000 7.469 0.000
Ge 2.021 4.312 7.758
Ge 2.021 1.740 6.231
Ge 0.000 4.898 1.527
Ge 2.021 4.312 4.704
Ge 0.000 7.958 4.275
Ge 2.021 1.251 10.506
Ge 2.021 1.251 1.957
CELL_PARAMETERS angstrom
4.041 0.000 0.000
0.000 9.209 0.000
0.000 0.000 12.463

---

Entry 6:
! Pa3Mn2Ge4 GGA-PBE optimized geometry; values from VASP
! Fermi-level density of states: 10.73 states/eV/f.u.
! raw total energy: -7.6696 eV per atom
! SG: C2/m, No. 12
! volume: 170.75 Å³/cell
&SYSTEM
  ibrav = 0, nat = 9, ntyp = 3
/
ATOMIC_SPECIES
Pa 231.04 Pa.upf
Mn 54.94 Mn.upf
Ge 72.64 Ge.upf
ATOMIC_POSITIONS angstrom
Pa 2.273 3.330 7.422
Pa 0.000 0.000 0.000
Pa 3.209 2.351 4.254
Mn 2.820 5.253 5.569
Mn 2.661 0.428 6.106
Ge 1.723 1.722 1.725
Ge 3.758 3.959 9.951
Ge 0.562 1.484 5.655
Ge 4.919 4.197 6.021
CELL_PARAMETERS angstrom
4.107 0.000 1.213
1.639 4.997 2.011
-0.264 0.684 8.452